(1)
## AgP2Ru (GGA-PBE)

Data for AgP2Ru after structural relaxation.

POSCAR file:
```
AgP2Ru
1.0
2.900 0.000 0.000
0.000 2.900 0.000
0.000 0.000 7.352
Ag P Ru
1 2 1
direct
0.500 0.500 0.750 Ag
0.000 0.000 0.048 P
0.000 0.000 0.452 P
0.500 0.500 0.250 Ru
```

Summary:
Energy above the most stable polymorph in this dataset = 0.102 eV per atom
Energy of formation = 69.9 meV per atom
Space-group type = P4/mmm


(2)
## AgP2Ru (GGA-PBE)

Data for AgP2Ru after structural relaxation.

POSCAR file:
```
AgP2Ru
1.0
7.693 -0.020 -0.012
7.095 2.972 -0.012
7.095 1.416 2.613
Ag P Ru
1 2 1
direct
0.744 0.744 0.744 Ag
0.988 0.988 0.988 P
0.251 0.251 0.251 P
0.516 0.516 0.516 Ru
```

Summary:
Energy above the most stable polymorph in this dataset = 0.236 eV per atom
Energy of formation = 203.2 meV per atom
Space-group type = R3m